Entry 1:
First-principles (PBE-GGA) data for a relaxed Tl4ReNi crystal, as listed in the Alexandria database.

```
Tl4ReNi
1.0
0.0000 4.3151 4.3151
4.3151 0.0000 4.3151
4.3151 4.3151 0.0000
Tl Re Ni
4 1 1
Cartesian
1.0788 1.0788 1.0788
3.2363 3.2363 1.0788
3.2363 1.0788 3.2363
1.0788 3.2363 3.2363
4.3151 4.3151 4.3151
6.4727 6.4727 6.4727
```

=====

Entry 2:
First-principles (PBE-GGA) data for a relaxed SrMg2InCo crystal, as listed in the Alexandria database.

```
SrMg2InCo
1.0
4.9694 0.0000 0.0000
0.0000 4.9694 0.0000
0.0000 0.0000 5.0006
Sr Mg In Co
1 2 1 1
Cartesian
0.0000 0.0000 0.0000
0.0000 2.4847 2.5003
2.4847 0.0000 2.5003
2.4847 2.4847 0.0000
2.4847 2.4847 2.5003
```

=====

Number 1: calculated density 10.98 g cm⁻³, energy -3.1564 eV per atom. Number 2: calculated density 4.17 g cm⁻³, energy -3.0233 eV per atom.